Density functional theory data (PBE) for a relaxed structure of Y2ReAu.

The space group is P4mm (No. 99) and the conventional cell measures 3.914, 3.914 and 6.045 Å, with angles of 90.00, 90.00 and 90.00 degrees. The inequivalent atoms are Y at (0.000, 0.000, 0.000), Y at (0.500, 0.500, 0.354), Re at (0.500, 0.500, 0.847) and Au at (0.000, 0.000, 0.525).

The calculation puts the excess energy over the best structure of this formula in the dataset at 0.387 eV/atom. For the volume, the calculation gives 92.59 Å³/cell. The value obtained for the calculated formation energy is 0.110 eV per atom. Its density of states at the Fermi level is 3.9 states/eV/f.u.



Density functional theory data (PBE) for a relaxed structure of SrCl.

The space group is Cm (No. 8) and the conventional cell measures 9.764, 4.174 and 7.790 Å, with angles of 90.00, 103.52 and 90.00 degrees. The inequivalent atoms are Sr at (0.000, 0.000, 0.000), Sr at (0.208, 0.000, 0.586), Cl at (0.083, 0.500, 0.298) and Cl at (0.417, 0.500, 0.598).

For the volume, the calculation gives 308.67 Å³/cell. As for the uncorrected formation energy: -161.0 kJ/mol of atoms. Its density of states at the Fermi level is 0.7 states/eV/f.u.



Density functional theory data (PBE) for a relaxed structure of LiTm3S4.

The space group is Pm-3m (No. 221) and the conventional cell measures 5.405, 5.405 and 5.405 Å, with angles of 90.00, 90.00 and 90.00 degrees. The inequivalent atoms are Li at (0.000, 0.000, 0.000), Tm at (0.000, 0.500, 0.500), S at (0.000, 0.000, 0.500) and S at (0.500, 0.500, 0.500).

The calculation puts the excess energy over the best structure of this formula in the dataset at 0.000 eV/atom. For the volume, the calculation gives 157.89 Å³/cell. As for the uncorrected formation energy: -186.7 kJ/mol of atoms. Its density of states at the Fermi level is 2.6 states/eV/f.u.



Density functional theory data (PBE) for a relaxed structure of LiCaInAg3.

The space group is Cmcm (No. 63) and the conventional cell measures 5.987, 13.777 and 6.249 Å, with angles of 90.00, 90.00 and 90.00 degrees. The inequivalent atoms are Li at (0.000, 0.097, 0.250), Ca at (0.000, 0.311, 0.250), In at (0.000, 0.349, 0.750), Ag at (0.000, 0.140, 0.750) and Ag at (0.237, 0.500, 0.000).

For the volume, the calculation gives 515.38 Å³/cell. The value obtained for the calculated formation energy is -0.162 eV per atom. Its density of states at the Fermi level is 2.3 states/eV/f.u.



Density functional theory data (PBE) for a relaxed structure of Li2NbRu.

The space group is Fm-3m (No. 225) and the conventional cell measures 5.996, 5.996 and 5.996 Å, with angles of 90.00, 90.00 and 90.00 degrees. The inequivalent atoms are Li at (0.250, 0.250, 0.250), Nb at (0.000, 0.000, 0.000) and Ru at (0.000, 0.000, 0.500).

The calculation puts the excess energy over the best structure of this formula in the dataset at 0.000 eV/atom. For the volume, the calculation gives 215.52 Å³/cell. The value obtained for the calculated formation energy is 0.490 eV per atom. Its density of states at the Fermi level is 3.3 states/eV/f.u.



Density functional theory data (PBE) for a relaxed structure of TaBePb.

The space group is P3m1 (No. 156) and the conventional cell measures 4.5810, 4.5810 and 2.9342 Å, with angles of 90.00, 90.00 and 120.00 degrees. The inequivalent atoms are Ta at (0.0000, 0.0000, 0.0000), Be at (0.3333, 0.6667, 0.4909) and Pb at (0.6667, 0.3333, 0.5014).

The calculation puts the excess energy over the best structure of this formula in the dataset at 0.266 eV/atom. For the volume, the calculation gives 53.33 Å³/cell. The value obtained for the calculated formation energy is 0.799 eV per atom. Its density of states at the Fermi level is 1.3 states/eV/f.u.